(1)
Here is a geometry-optimized Al2Zn structure from the Alexandria database. Energies are from GGA-PBEsol.

Output
Total magnetic moment ... 0.00 μB/atom
Calculated total energy ... -3.24 eV per atom

a = 2.8362 Å, b = 2.8362 Å, c = 6.7125 Å
α = 90.00°, β = 90.00°, γ = 120.00°
With the nearest neighbours (Å) after each atom.
Fractional coordinates of all 3 atoms:
Al 0.6667 0.3333 0.3297  3 Zn 2.75, 9 Al 2.81-2.84
Zn 0.0000 0.0000 0.0000  6 Al 2.75, 6 Zn 2.84
Al 0.3333 0.6667 0.6703  3 Zn 2.75, 9 Al 2.81-2.84

(2)
Here is a geometry-optimized Al2Zn structure from the Alexandria database. Energies are from GGA-PBEsol.

Output
Total magnetic moment ... 0.00 μB/atom
Calculated total energy ... -3.24 eV per atom

a = 2.7731 Å, b = 4.9413 Å, c = 7.8277 Å
α = 113.72°, β = 90.00°, γ = 106.30°
With the nearest neighbours (Å) after each atom.
Fractional coordinates of all 6 atoms:
Zn 0.6725 0.3451 0.5840  5 Zn 2.73-2.97, 7 Al 2.75-2.84
Al 0.3345 0.6689 0.9148  2 Zn 2.77, 10 Al 2.77-2.86
Zn 0.3275 0.6549 0.4160  5 Zn 2.73-2.97, 7 Al 2.75-2.84
Al 0.6655 0.3311 0.0852  2 Zn 2.77, 10 Al 2.77-2.86
Al 0.9980 0.9961 0.2596  5 Zn 2.75-2.84, 7 Al 2.77-2.86
Al 0.0020 0.0039 0.7404  5 Zn 2.75-2.84, 7 Al 2.77-2.86

- What is the formula in the second record?
  Al2Zn

What did the first record say?
Here is a geometry-optimized Al2Zn structure from the Alexandria database. Energies are from GGA-PBEsol.

Output
Total magnetic moment ... 0.00 μB/atom
Calculated total energy ... -3.24 eV per atom

a = 2.8362 Å, b = 2.8362 Å, c = 6.7125 Å
α = 90.00°, β = 90.00°, γ = 120.00°
With the nearest neighbours (Å) after each atom.
Fractional coordinates of all 3 atoms:
Al 0.6667 0.3333 0.3297  3 Zn 2.75, 9 Al 2.81-2.84
Zn 0.0000 0.0000 0.0000  6 Al 2.75, 6 Zn 2.84
Al 0.3333 0.6667 0.6703  3 Zn 2.75, 9 Al 2.81-2.84